## AlNiPbAu (GGA-PBE)

Data for crystalline AlNiPbAu at its relaxed geometry. Values from VASP.

```
&SYSTEM
  ibrav = 0, nat = 4, ntyp = 4
/
ATOMIC_SPECIES
Al 26.98 Al.upf
Au 196.97 Au.upf
Pb 207.20 Pb.upf
Ni 58.69 Ni.upf
CELL_PARAMETERS angstrom
0.0000 3.3134 3.3134
3.3134 0.0000 3.3134
3.3134 3.3134 0.0000
ATOMIC_POSITIONS crystal
Al 0.0000 0.0000 0.0000
Au 0.7500 0.7500 0.7500
Pb 0.2500 0.2500 0.2500
Ni 0.5000 0.5000 0.5000
```

Output
V = 18.189 A^3/atom
Space group = F-43m (216)
DFT total energy = -3.89 eV/atom